No. 1
DFT (PBE) results for a geometry-optimized Ce8GaGe6 structure.

- Fermi-level density of states (states/eV/cell) = 40.127
- mass density (Mg/m³) = 6.6
- energy of formation from the pure elements (kJ per mole of atoms) = -50.95

CIF file:
```
data_Ce8GaGe6
_chemical_formula_sum 'Ce8 Ga1 Ge6'
_cell_length_a 8.881
_cell_length_b 8.881
_cell_length_c 7.903
_cell_angle_alpha 55.81
_cell_angle_beta 55.81
_cell_angle_gamma 60.00
_space_group_name_H-M_alt 'P 1'
_space_group_IT_number 1
loop_
_space_group_symop_operation_xyz
'x,y,z'
loop_
_atom_site_label
_atom_site_fract_x
_atom_site_fract_y
_atom_site_fract_z
Ce1 0.626 0.195 0.282
Ce2 0.805 0.103 0.718
Ce3 0.103 0.374 0.718
Ce4 0.661 0.661 0.016
Ce5 0.339 0.339 0.984
Ce6 0.897 0.626 0.282
Ce7 0.195 0.897 0.282
Ce8 0.374 0.805 0.718
Ga1 0.000 0.000 0.000
Ge1 0.440 0.063 0.783
Ge2 0.937 0.286 0.217
Ge3 0.286 0.560 0.217
Ge4 0.714 0.440 0.783
Ge5 0.063 0.714 0.783
Ge6 0.560 0.937 0.217
```

---

No. 2
DFT (PBE) results for a geometry-optimized Ce4GaGe structure.

- Fermi-level density of states (states/eV/cell) = 29.723
- mass density (Mg/m³) = 7.9
- energy of formation from the pure elements (kJ per mole of atoms) = -42.40

CIF file:
```
data_Ce4GaGe
_chemical_formula_sum 'Ce8 Ga2 Ge2'
_cell_length_a 6.028
_cell_length_b 8.102
_cell_length_c 7.673
_cell_angle_alpha 114.59
_cell_angle_beta 104.03
_cell_angle_gamma 106.55
_space_group_name_H-M_alt 'P 1'
_space_group_IT_number 1
loop_
_space_group_symop_operation_xyz
'x,y,z'
loop_
_atom_site_label
_atom_site_fract_x
_atom_site_fract_y
_atom_site_fract_z
Ce1 0.036 0.226 0.805
Ce2 0.748 0.658 0.596
Ce3 0.269 0.579 0.805
Ce4 0.348 0.938 0.596
Ce5 0.652 0.062 0.404
Ce6 0.731 0.421 0.195
Ce7 0.252 0.342 0.404
Ce8 0.964 0.774 0.195
Ga1 0.251 0.001 0.002
Ga2 0.749 0.999 0.998
Ge1 0.363 0.613 0.225
Ge2 0.637 0.387 0.775
```

---

No. 3
DFT (PBE) results for a geometry-optimized CeGaGe2 structure.

- Fermi-level density of states (states/eV/cell) = 3.884
- mass density (Mg/m³) = 7.3
- energy of formation from the pure elements (kJ per mole of atoms) = -52.12

CIF file:
```
data_CeGaGe2
_chemical_formula_sum 'Ce1 Ga1 Ge2'
_cell_length_a 4.213
_cell_length_b 4.390
_cell_length_c 4.390
_cell_angle_alpha 90.00
_cell_angle_beta 90.00
_cell_angle_gamma 90.00
_space_group_name_H-M_alt 'P 1'
_space_group_IT_number 1
loop_
_space_group_symop_operation_xyz
'x,y,z'
loop_
_atom_site_label
_atom_site_fract_x
_atom_site_fract_y
_atom_site_fract_z
Ge1 0.000 0.000 0.500
Ge2 0.000 0.500 0.000
Ga1 0.500 0.500 0.500
Ce1 0.500 0.000 0.000
```